No. 1
AcPm2PuS4 | Alexandria | PBE | optimized geometry; ΔE_f (raw) = -1502 kJ/mol of formula units; space-group type = P2/m, No. 10
1.0
-2.463 1.244 -2.995
-5.062 -4.409 2.332
-0.722 6.293 3.207
Ac Pm Pu S
1 2 1 4
direct
0.000 0.000 0.000
0.500 0.000 0.500
0.000 0.500 0.500
0.500 0.500 0.000
0.500 0.264 0.260
0.500 0.736 0.740
0.000 0.260 0.748
0.000 0.740 0.252


No. 2
Nd2PbC2N6 | Alexandria | PBE | optimized geometry; ΔE_f (raw) = -316 kJ/mol of formula units; space-group type = P-1, No. 2
1.0
-1.467 -3.226 -5.634
-2.384 -5.905 -1.298
-3.678 3.906 0.531
Nd Pb C N
2 1 2 6
direct
0.755 0.431 0.794
0.245 0.569 0.206
0.500 0.000 0.500
0.013 0.729 0.723
0.987 0.271 0.277
0.301 0.531 0.727
0.142 0.254 0.139
0.887 0.910 0.562
0.858 0.746 0.861
0.113 0.090 0.438
0.699 0.469 0.273


Question: Which formula does entry 1 have?
Answer: AcPm2PuS4